! PBE+U Ba2TbMoO6, optimized geometry; values from VASP
! E_tot = -72.4 eV per cell
! Magnetic moment = 1.00 μB per formula unit
&SYSTEM
  ibrav = 0, nat = 10, ntyp = 4
/
ATOMIC_SPECIES
Ba 137.33 Ba.upf
O 16.00 O.upf
Mo 95.94 Mo.upf
Tb 158.93 Tb.upf
ATOMIC_POSITIONS angstrom
Ba -1.084 -6.981 5.228
O -3.164 -4.821 6.451
O 0.769 -4.895 4.388
Mo -0.719 -0.302 2.909
O -2.369 -4.763 3.734
Tb -0.479 -4.556 2.511
O -0.480 -2.331 2.908
O -1.916 -7.385 7.931
O -0.027 -4.953 7.105
Ba -1.312 -2.735 5.611
CELL_PARAMETERS angstrom
-1.437 -0.603 5.818
-3.415 -4.665 1.848
2.457 -4.447 3.172